[1]
Density functional theory data (PBE-GGA) for an optimized crystal structure of PmSm3Dy.

Cell: 6.3407 9.6876 9.3528 Å, 137.72 89.97 109.12°
Positions (direct):
Pm 0.4669 0.1005 0.2523
Pm 0.5331 0.8995 0.7477
Sm 0.2666 0.6982 0.2465
Sm 0.9359 0.7017 0.7532
Sm 0.6666 0.5009 0.2514
Sm 0.3334 0.4991 0.7486
Sm 0.7334 0.3018 0.7535
Sm 0.0641 0.2983 0.2468
Dy 0.1344 0.0986 0.7471
Dy 0.8656 0.9014 0.2529

Total magnetization ... 0.00 μB per cell
Final energy ... -0.34373 Ry/atom
SG ... P-1, No. 2

[2]
Density functional theory data (PBE-GGA) for an optimized crystal structure of PmSm7Dy12.

Cell: 9.7847 9.7847 9.7847 Å, 109.47 109.47 109.47°
Positions (direct):
Pm 0.0000 0.0000 0.0000
Sm 0.5000 0.5000 0.0000
Sm 0.0000 0.5000 0.5000
Sm 0.5000 0.0000 0.5000
Sm 0.5000 0.5000 0.5000
Sm 0.0000 0.0000 0.5000
Sm 0.5000 0.0000 0.0000
Sm 0.0000 0.5000 0.0000
Dy 0.4989 0.7491 0.7498
Dy 0.9992 0.7491 0.2502
Dy 0.5011 0.2509 0.2502
Dy 0.0008 0.2509 0.7498
Dy 0.7498 0.0008 0.2509
Dy 0.7498 0.4989 0.7491
Dy 0.2502 0.9992 0.7491
Dy 0.2502 0.5011 0.2509
Dy 0.7491 0.7498 0.4989
Dy 0.2509 0.2502 0.5011
Dy 0.7491 0.2502 0.9992
Dy 0.2509 0.7498 0.0008

Total magnetization ... 0.00 μB per cell
Final energy ... -0.29398 Ry/atom
SG ... Im-3, No. 204

[3]
Density functional theory data (PBE-GGA) for an optimized crystal structure of Pm6Sm7Dy16.

Cell: 11.2231 11.2231 11.2231 Å, 60.00 60.00 60.00°
Positions (direct):
Pm 0.2676 0.7324 0.2676
Pm 0.7324 0.2676 0.7324
Pm 0.7324 0.2676 0.2676
Pm 0.2676 0.7324 0.7324
Pm 0.7324 0.7324 0.2676
Pm 0.2676 0.2676 0.7324
Sm 0.0000 0.0000 0.0000
Sm 0.5000 0.0000 0.5000
Sm 0.0000 0.5000 0.0000
Sm 0.0000 0.5000 0.5000
Sm 0.5000 0.0000 0.0000
Sm 0.0000 0.0000 0.5000
Sm 0.5000 0.5000 0.0000
Dy 0.8719 0.8719 0.3842
Dy 0.8719 0.8719 0.8719
Dy 0.8719 0.3842 0.8719
Dy 0.3842 0.8719 0.8719
Dy 0.1281 0.1281 0.1281
Dy 0.1281 0.1281 0.6158
Dy 0.1281 0.6158 0.1281
Dy 0.6158 0.1281 0.1281
Dy 0.6505 0.6505 0.0484
Dy 0.6505 0.6505 0.6505
Dy 0.6505 0.0484 0.6505
Dy 0.0484 0.6505 0.6505
Dy 0.3495 0.3495 0.3495
Dy 0.3495 0.3495 0.9516
Dy 0.3495 0.9516 0.3495
Dy 0.9516 0.3495 0.3495

Total magnetization ... 0.00 μB per cell
Final energy ... -0.32505 Ry/atom
SG ... Fm-3m, No. 225

[4]
Density functional theory data (PBE-GGA) for an optimized crystal structure of Pm6SmDy2.

Cell: 6.1646 7.5918 7.5918 Å, 60.00 90.00 90.00°
Each line ends with the local moment (μB).
Positions (direct):
Pm 0.2890 0.3771 0.8122  0.06
Pm 0.2882 0.8119 0.8119  0.06
Pm 0.2890 0.8122 0.3771  0.06
Pm 0.7110 0.6229 0.1878  0.06
Pm 0.7118 0.1881 0.1881  0.06
Pm 0.7110 0.1878 0.6229  0.06
Sm 0.0000 0.0000 0.0000  0.00
Dy 0.7829 0.6663 0.6663  0.08
Dy 0.2171 0.3337 0.3337  0.08

Total magnetization ... 0.88 μB per cell
Final energy ... -0.33092 Ry/atom
SG ... C2/m, No. 12

[5]
Density functional theory data (PBE-GGA) for an optimized crystal structure of Pm3Sm4Dy3.

Cell: 3.7743 9.4488 9.4488 Å, 90.29 90.00 90.00°
Positions (direct):
Pm 0.5000 0.8291 0.1709
Pm 0.5000 0.3287 0.3292
Pm 0.5000 0.6708 0.6713
Sm 0.0000 0.6292 0.3708
Sm 0.0000 0.3701 0.6299
Sm 0.0000 0.8729 0.8703
Sm 0.0000 0.1297 0.1271
Dy 0.0000 0.4965 0.9981
Dy 0.0000 0.0019 0.5035
Dy 0.5000 0.1711 0.8289

Total magnetization ... 0.00 μB per cell
Final energy ... -0.33717 Ry/atom
SG ... Amm2, No. 38

[6]
Density functional theory data (PBE-GGA) for an optimized crystal structure of Pm3Sm5Dy.

Cell: 9.6480 9.6480 11.8196 Å, 52.45 52.45 74.29°
Positions (direct):
Pm 0.6891 0.6891 0.8169
Pm 0.6633 0.6633 0.3526
Pm 0.0000 0.0000 0.0000
Pm 0.0000 0.0000 0.5000
Pm 0.3109 0.3109 0.1831
Pm 0.3367 0.3367 0.6474
Sm 0.8417 0.3377 0.2595
Sm 0.2534 0.7466 0.0000
Sm 0.8216 0.8216 0.9531
Sm 0.4965 0.4965 0.2289
Sm 0.5035 0.5035 0.7711
Sm 0.1784 0.1784 0.0469
Sm 0.3377 0.8417 0.2595
Sm 0.7466 0.2534 0.0000
Sm 0.1583 0.6623 0.7405
Sm 0.6623 0.1583 0.7405
Dy 0.1581 0.1581 0.5938
Dy 0.8419 0.8419 0.4062

Total magnetization ... 0.00 μB per cell
Final energy ... -0.31068 Ry/atom
SG ... C2/m, No. 12

[7]
Density functional theory data (PBE-GGA) for an optimized crystal structure of Pm8SmDy2.

Cell: 9.3364 10.1441 10.1441 Å, 43.05 40.22 40.22°
Positions (direct):
Pm 0.1334 0.3496 0.7878
Pm 0.8666 0.2122 0.6504
Pm 0.2791 0.6707 0.6707
Pm 0.7209 0.3293 0.3293
Pm 0.1334 0.7878 0.3496
Pm 0.8666 0.6504 0.2122
Pm 0.6103 0.6943 0.6943
Pm 0.3897 0.3057 0.3057
Sm 0.0000 0.0000 0.0000
Dy 0.6617 0.8578 0.8578
Dy 0.3383 0.1422 0.1422

Total magnetization ... 0.00 μB per cell
Final energy ... -0.33843 Ry/atom
SG ... C2/m, No. 12

[8]
Density functional theory data (PBE-GGA) for an optimized crystal structure of Tb4PmSm2Dy2.

Cell: 5.0631 8.0100 8.0018 Å, 107.51 90.00 108.42°
Positions (direct):
Tb 0.7781 0.5562 0.6675
Tb 0.2219 0.4438 0.3325
Tb 0.5561 0.1122 0.3332
Tb 0.4439 0.8878 0.6668
Pm 0.0000 0.0000 0.0000
Sm 0.8887 0.7774 0.3341
Sm 0.1113 0.2226 0.6659
Dy 0.3325 0.6651 0.9997
Dy 0.6675 0.3349 0.0003

Total magnetization ... 0.00 μB per cell
Final energy ... -0.34110 Ry/atom
SG ... C2/m, No. 12

[9]
Density functional theory data (PBE-GGA) for an optimized crystal structure of Tb3PmSmDy.

Cell: 5.6823 10.3727 6.9737 Å, 90.14 90.00 105.90°
Positions (direct):
Tb 0.8352 0.6703 0.2621
Tb 0.7801 0.5603 0.7537
Tb 0.4787 0.9573 0.2559
Tb 0.2199 0.4397 0.2463
Tb 0.5213 0.0427 0.7441
Tb 0.1648 0.3297 0.7379
Pm 0.3537 0.7075 0.9723
Pm 0.6463 0.2925 0.0277
Sm 0.0549 0.1097 0.2582
Sm 0.9451 0.8903 0.7418
Dy 0.6487 0.2974 0.4625
Dy 0.3513 0.7026 0.5375

Total magnetization ... 0.00 μB per cell
Final energy ... -0.32857 Ry/atom
SG ... C2/m, No. 12

[10]
Density functional theory data (PBE-GGA) for an optimized crystal structure of Tb2PmSmDy.

Cell: 7.1633 8.4237 7.1524 Å, 126.08 90.00 90.00°
Positions (direct):
Tb 0.5000 0.3125 0.0000
Tb 0.0000 0.6875 0.0000
Tb 0.5000 0.6875 0.0000
Tb 0.0000 0.3125 0.0000
Pm 0.2500 0.9957 0.9915
Pm 0.7500 0.0043 0.0085
Sm 0.2500 0.7270 0.4540
Sm 0.7500 0.2730 0.5460
Dy 0.7500 0.7261 0.4522
Dy 0.2500 0.2739 0.5478

Total magnetization ... 0.10 μB per cell
Final energy ... -0.31390 Ry/atom
SG ... Cmcm, No. 63

Formation energy across the listed records, respectively: 25, 651, 239, 212, 106, 490, 116, 16, 190, 396 meV per atom.